A) DFT (GGA-PBE) results for a geometry-optimized NiPb3Cl structure.

a b c (Å): 5.4731 5.4731 5.4731
angles (deg): 90.00 90.00 90.00
Last column: nearest neighbours and their distance in Å.
Space group Pm-3m (No. 221)
Symmetry-distinct sites (fractional):
Ni  0.0000  0.0000  0.0000 x1  12 Pb 3.87
Pb  0.0000  0.5000  0.5000 x3  2 Cl 2.74
Cl  0.5000  0.5000  0.5000 x1  6 Pb 2.74

Output
* density: 7.2 g cm⁻³

B) DFT (GGA-PBE) results for a geometry-optimized NiPb3Cl structure.

a b c (Å): 5.2025 5.2025 5.2025
angles (deg): 90.00 90.00 90.00
Last column: nearest neighbours and their distance in Å.
Space group Pm-3m (No. 221)
Symmetry-distinct sites (fractional):
Ni  0.0000  0.0000  0.0000 x1  6 Pb 2.60
Pb  0.0000  0.0000  0.5000 x3  2 Ni 2.60
Cl  0.5000  0.5000  0.5000 x1  12 Pb 3.68

Output
* density: 8.4 g cm⁻³

Most stable: B). Least stable: A).

A) DFT (GGA-PBE) results for a geometry-optimized NiPbCl4 structure.

a b c (Å): 8.3737 8.3737 8.3737
angles (deg): 90.00 90.00 90.00
Last column: nearest neighbours and their distance in Å.
Space group F-43m (No. 216)
Symmetry-distinct sites (fractional):
Ni  0.0000  0.0000  0.0000 x4  12 Cl 3.47, 4 Pb 3.63
Pb  0.2500  0.2500  0.2500 x4  12 Cl 3.47, 4 Ni 3.63
Cl  0.1257  0.1257  0.6257 x16  6 Cl 2.94-2.98

Output
* density: 4.6 g cm⁻³

B) DFT (GGA-PBE) results for a geometry-optimized NiPbCl4 structure.

a b c (Å): 6.8131 6.8131 7.3805
angles (deg): 90.00 90.00 90.00
Last column: nearest neighbours and their distance in Å.
Space group I-4 (No. 82)
Symmetry-distinct sites (fractional):
Ni  0.0000  0.0000  0.0000 x2  4 Cl 2.18
Pb  0.0000  0.5000  0.2500 x2  8 Cl 3.04-3.05
Cl  0.2256  0.2276  0.9991 x8  1 Ni 2.18

Output
* density: 4.0 g cm⁻³

Most stable: B). Least stable: A).

A) DFT (GGA-PBE) results for a geometry-optimized NiPbS2Cl structure.

a b c (Å): 4.5862 4.5862 4.7225
angles (deg): 90.00 90.00 90.00
Last column: nearest neighbours and their distance in Å.
Space group P4/mmm (No. 123)
Symmetry-distinct sites (fractional):
Ni  0.0000  0.0000  0.0000 x1  4 S 2.29, 2 Cl 2.36
Pb  0.5000  0.5000  0.5000 x1  4 Cl 3.24, 8 S 3.29
S  0.0000  0.5000  0.0000 x2  2 Ni 2.29
Cl  0.0000  0.0000  0.5000 x1  2 Ni 2.36

Output
* density: 6.1 g cm⁻³

B) DFT (GGA-PBE) results for a geometry-optimized NiPbS2Cl structure.

a b c (Å): 5.1915 5.1915 5.3148
angles (deg): 90.00 90.00 90.00
Last column: nearest neighbours and their distance in Å.
Space group P4/mmm (No. 123)
Symmetry-distinct sites (fractional):
Ni  0.0000  0.0000  0.0000 x1  4 Cl 3.67, 8 S 3.71
Pb  0.5000  0.5000  0.5000 x1  4 S 2.60, 2 Cl 2.66
S  0.0000  0.5000  0.5000 x2  2 Pb 2.60
Cl  0.5000  0.5000  0.0000 x1  2 Pb 2.66

Output
* density: 4.2 g cm⁻³

Most stable: A). Least stable: B).

A) DFT (GGA-PBE) results for a geometry-optimized NiPd3Cl structure.

a b c (Å): 4.6399 4.6399 4.6399
angles (deg): 90.00 90.00 90.00
Last column: nearest neighbours and their distance in Å.
Space group Pm-3m (No. 221)
Symmetry-distinct sites (fractional):
Ni  0.0000  0.0000  0.0000 x1  6 Pd 2.32
Pd  0.0000  0.0000  0.5000 x3  2 Ni 2.32
Cl  0.5000  0.5000  0.5000 x1  12 Pd 3.28

Output
* density: 6.9 g cm⁻³

B) DFT (GGA-PBE) results for a geometry-optimized NiPd3Cl structure.

a b c (Å): 4.4961 4.4961 4.4961
angles (deg): 90.00 90.00 90.00
Last column: nearest neighbours and their distance in Å.
Space group Pm-3m (No. 221)
Symmetry-distinct sites (fractional):
Ni  0.0000  0.0000  0.0000 x1  12 Pd 3.18
Pd  0.0000  0.5000  0.5000 x3  2 Cl 2.25
Cl  0.5000  0.5000  0.5000 x1  6 Pd 2.25

Output
* density: 7.6 g cm⁻³

Most stable: B). Least stable: A).